Here is a geometry-optimized Te4Os structure from Alexandria via LeMat-Bulk. Energies are from PBE.

uncorrected formation energy: 280 meV/atom
space group: I4/m (87)
energy relative to the lowest polymorph listed for this composition: 0.00 eV per formula unit

```
Te4Os
1.0
-4.5004 4.5004 1.8202
4.5004 -4.5004 1.8202
4.5004 4.5004 -1.8202
Te Os
4 1
Direct
0.0894 0.7821 0.8715
0.2179 0.0894 0.3073
0.7821 0.9106 0.6927
0.9106 0.2179 0.1285
0.5000 0.5000 0.0000
```

---

Here is a geometry-optimized Dy3Ni4As4 structure from Alexandria via LeMat-Bulk. Energies are from PBE.

space group: P-1 (2)
energy of formation from the pure elements: -90.5 kJ per mole of atoms

```
Dy3Ni4As4
1.0
3.9438 0.0000 0.0000
-0.0011 4.0480 0.0000
-1.9605 -2.0147 11.9422
Dy Ni As
3 4 4
Direct
0.0000 0.0000 0.0000
0.1518 0.6519 0.3029
0.8482 0.3481 0.6971
0.2507 0.2511 0.5025
0.4035 0.9045 0.8080
0.5965 0.0955 0.1920
0.7493 0.7489 0.4975
0.3066 0.8060 0.6129
0.4446 0.4458 0.8912
0.5554 0.5542 0.1088
0.6934 0.1940 0.3871
```

---

Here is a geometry-optimized CsInO2 structure from Alexandria via LeMat-Bulk. Energies are from PBE.

uncorrected formation energy: -1461 meV/atom
space group: P2_1/c (14)

```
CsInO2
1.0
7.5257 0.0000 0.0000
0.0000 8.4380 0.0000
-2.2172 0.0000 6.0211
Cs In O
4 4 8
Direct
0.1472 0.0882 0.3152
0.1472 0.4118 0.8152
0.8528 0.5882 0.1848
0.8528 0.9118 0.6848
0.3794 0.6462 0.4217
0.3794 0.8538 0.9217
0.6206 0.1462 0.0783
0.6206 0.3538 0.5783
0.2462 0.7203 0.0968
0.2462 0.7797 0.5968
0.3275 0.1003 0.9479
0.3275 0.3998 0.4479
0.6725 0.6002 0.5521
0.6725 0.8998 0.0521
0.7538 0.2203 0.4032
0.7538 0.2797 0.9032
```

---

Here is a geometry-optimized RePPb structure from Alexandria via LeMat-Bulk. Energies are from PBE.

space group: P-6m2 (187)
energy relative to the lowest polymorph listed for this composition: 1.25 eV per formula unit
energy of formation from the pure elements: 40.2 kJ per mole of atoms

```
RePPb
1.0
3.9619 0.0000 0.0000
-1.9809 3.4311 0.0000
0.0000 0.0000 4.8382
Re P Pb
1 1 1
Direct
0.0000 0.0000 0.0000
0.6667 0.3333 0.0000
0.3333 0.6667 0.5000
```

---

Here is a geometry-optimized ZrCrAg2 structure from Alexandria via LeMat-Bulk. Energies are from PBE.

space group: I-42d (122)
energy relative to the lowest polymorph listed for this composition: 1.42 eV per formula unit
energy of formation from the pure elements: 52.2 kJ per mole of atoms

```
ZrCrAg2
1.0
-1.9410 1.9410 10.2472
1.9410 -1.9410 10.2472
1.9410 1.9410 -10.2472
Zr Cr Ag
2 2 4
Direct
0.0000 0.0000 0.0000
0.7500 0.2500 0.5000
0.2500 0.7500 0.5000
0.5000 0.5000 0.0000
0.1353 0.6250 0.0103
0.3750 0.3853 0.5103
0.6147 0.1250 0.9897
0.8750 0.8647 0.4897
```

---

Here is a geometry-optimized CeGaPt structure from Alexandria via LeMat-Bulk. Energies are from PBE.

space group: Imma (74)
energy of formation from the pure elements: -81.6 kJ per mole of atoms

```
CeGaPt
1.0
-2.1550 3.6616 4.0467
2.1550 -3.6616 4.0467
2.1550 3.6616 -4.0467
Ce Ga Pt
2 2 2
Direct
0.0000 0.0000 0.0000
0.5000 0.0000 0.5000
0.4233 0.6733 0.7500
0.5767 0.3267 0.2500
0.1126 0.3626 0.7500
0.8874 0.6374 0.2500
```

---

Here is a geometry-optimized CaTcPS2 structure from Alexandria via LeMat-Bulk. Energies are from PBE.

uncorrected formation energy: 1069 meV/atom
space group: P4/mmm (123)
energy relative to the lowest polymorph listed for this composition: 7.34 eV per formula unit

```
CaTcPS2
1.0
5.0889 0.0000 0.0000
0.0000 5.0889 0.0000
0.0000 0.0000 5.2089
Ca Tc P S
1 1 1 2
Direct
0.0000 0.0000 0.0000
0.5000 0.5000 0.5000
0.0000 0.0000 0.5000
0.0000 0.5000 0.0000
0.5000 0.0000 0.0000
```

---

Here is a geometry-optimized NaHf3Co structure from Alexandria via LeMat-Bulk. Energies are from PBE.

space group: Pm-3m (221)
energy relative to the lowest polymorph listed for this composition: 0.00 eV per formula unit
energy of formation from the pure elements: 39.2 kJ per mole of atoms

```
NaHf3Co
1.0
4.8811 0.0000 0.0000
0.0000 4.8811 0.0000
0.0000 0.0000 4.8811
Na Hf Co
1 3 1
Direct
0.0000 0.0000 0.0000
0.0000 0.5000 0.5000
0.5000 0.0000 0.5000
0.5000 0.5000 0.0000
0.5000 0.5000 0.5000
```

---

Here is a geometry-optimized CrCuTe4 structure from Alexandria via LeMat-Bulk. Energies are from PBE.

uncorrected formation energy: 893 meV/atom
space group: F-43m (216)
energy relative to the lowest polymorph listed for this composition: 5.87 eV per formula unit

```
CrCuTe4
1.0
0.0000 4.4494 4.4494
4.4494 0.0000 4.4494
4.4494 4.4494 0.0000
Cr Cu Te
1 1 4
Direct
0.0000 0.0000 0.0000
0.7500 0.7500 0.7500
0.3752 0.3752 0.3752
0.3752 0.3752 0.8744
0.3752 0.8744 0.3752
0.8744 0.3752 0.3752
```

---

Here is a geometry-optimized KTlSnSe3 structure from Alexandria via LeMat-Bulk. Energies are from PBE.

uncorrected formation energy: -540 meV/atom
space group: C2/m (12)

```
KTlSnSe3
1.0
4.4323 -4.8138 0.0000
4.4323 4.8138 0.0000
-4.1368 0.0000 8.8030
K Tl Sn Se
2 2 2 6
Direct
0.1737 0.1737 0.2157
0.8263 0.8263 0.7843
0.2094 0.7906 0.5000
0.7906 0.2094 0.5000
0.3464 0.3464 0.8522
0.6536 0.6536 0.1478
0.0541 0.6295 0.1611
0.3663 0.3663 0.5955
0.3705 0.9459 0.8389
0.6295 0.0541 0.1611
0.6337 0.6337 0.4045
0.9459 0.3705 0.8389
```

---

Here is a geometry-optimized ZnTePS structure from Alexandria via LeMat-Bulk. Energies are from PBE.

uncorrected formation energy: -31 meV/atom
space group: P1 (1)
energy relative to the lowest polymorph listed for this composition: 0.43 eV per formula unit

```
ZnTePS
1.0
3.2190 0.0000 0.0000
1.5331 4.1511 0.0000
1.6016 0.9803 8.1094
Zn Te P S
1 1 1 1
Direct
0.0000 0.0000 0.0000
0.6481 0.5278 0.1676
0.0921 0.1251 0.7073
0.7677 0.8514 0.6159
```

---

Here is a geometry-optimized Ce3Ni8Pt structure from Alexandria via LeMat-Bulk. Energies are from PBE.

space group: R3m (160)
energy of formation from the pure elements: -42.7 kJ per mole of atoms

```
Ce3Ni8Pt
1.0
2.4928 1.4392 8.2666
-2.4928 1.4392 8.2666
0.0000 -2.8785 8.2666
Ce Ni Pt
3 8 1
Direct
0.0000 0.0000 0.0000
0.1299 0.1299 0.1299
0.6115 0.6115 0.6115
0.0580 0.0580 0.5630
0.0580 0.5630 0.0580
0.0623 0.5597 0.5597
0.3099 0.3099 0.3099
0.5597 0.0623 0.5597
0.5597 0.5597 0.0623
0.5630 0.0580 0.0580
0.8096 0.8096 0.8096
0.4924 0.4924 0.4924
```

---

no.,ρ (g/cm³),VASP energy (eV for the cell shown)
1,7.890,-22.398
2,8.901,-65.845
3,4.859,-77.406
4,10.715,-20.316
5,7.719,-43.420
6,10.529,-35.078
7,2.871,-20.687
8,8.816,-36.253
9,5.900,-20.931
10,5.296,-42.320
11,3.924,-14.078
12,10.124,-75.401